Crystalline MnBr3O at its relaxed geometry, computed with PBE with a Hubbard U.

a = 5.203 Å, b = 5.203 Å, c = 5.203 Å
α = 90.00°, β = 90.00°, γ = 90.00°
Positions (direct):
1 O 0.500 0.500 0.500
2 Br 0.000 0.000 0.500
3 Br 0.500 0.000 0.000
4 Br 0.000 0.500 0.000
5 Mn 0.000 0.000 0.000

Calculated values
Symmetry ... Pm-3m
Total magnetic moment ... 2.0 μB per formula unit
Polymorph energy (0 for the lowest one) ... 0.0 meV per atom
Final energy ... -3.29 eV per atom